Below is Fe2NiP2 after structural relaxation, with properties calculated at the PBE-GGA level.

Total magnetization   0.00 μB/atom
E_form   -335 meV per atom
Space-group type   P4/mbm
Crystal system   tetragonal
DOS at the Fermi energy   7.64 states/eV per cell

The structure in CIF format:
```
data_Fe2NiP2
_chemical_formula_sum 'Fe4 Ni2 P4'
_cell_length_a 6.4034
_cell_length_b 6.4034
_cell_length_c 2.6268
_cell_angle_alpha 90.00
_cell_angle_beta 90.00
_cell_angle_gamma 90.00
_space_group_name_H-M_alt 'P 1'
_space_group_IT_number 1
_space_group_name_Hall 'P 1'
loop_
_atom_site_label
_atom_site_type_symbol
_atom_site_fract_x
_atom_site_fract_y
_atom_site_fract_z
_atom_site_occupancy
Fe1 Fe 0.1423 0.3577 0.0000 1
Fe2 Fe 0.3577 0.8577 0.0000 1
Fe3 Fe 0.6423 0.1423 0.0000 1
Fe4 Fe 0.8577 0.6423 0.0000 1
Ni1 Ni 0.0000 0.0000 0.5000 1
Ni2 Ni 0.5000 0.5000 0.5000 1
P1 P 0.1550 0.6550 0.5000 1
P2 P 0.3450 0.1550 0.5000 1
P3 P 0.6550 0.8450 0.5000 1
P4 P 0.8450 0.3450 0.5000 1
```

Below is Cd2Pd4Pb after structural relaxation, with properties calculated at the PBE-GGA level.

Total magnetization   0.00 μB/atom
E_form   -165 meV per atom
Space-group type   I4/mmm
Crystal system   tetragonal
DOS at the Fermi energy   4.31 states/eV per cell

The structure in CIF format:
```
data_Cd2Pd4Pb
_chemical_formula_sum 'Cd2 Pd4 Pb1'
_cell_length_a 5.6328
_cell_length_b 5.6328
_cell_length_c 5.6328
_cell_angle_alpha 106.55
_cell_angle_beta 106.55
_cell_angle_gamma 115.49
_space_group_name_H-M_alt 'P 1'
_space_group_IT_number 1
_space_group_name_Hall 'P 1'
loop_
_atom_site_label
_atom_site_type_symbol
_atom_site_fract_x
_atom_site_fract_y
_atom_site_fract_z
_atom_site_occupancy
Cd1 Cd 0.0000 0.5000 0.5000 1
Cd2 Cd 0.5000 0.0000 0.5000 1
Pd1 Pd 0.0000 0.0000 0.5000 1
Pd2 Pd 0.0000 0.5000 0.0000 1
Pd3 Pd 0.5000 0.0000 0.0000 1
Pd4 Pd 0.5000 0.5000 0.5000 1
Pb1 Pb 0.0000 0.0000 0.0000 1
```

Below is AcTb4Ho10 after structural relaxation, with properties calculated at the PBE-GGA level.

Total magnetization   0.00 μB/atom
E_form   535 meV per atom
Space-group type   I4/m
Crystal system   tetragonal
DOS at the Fermi energy   29.89 states/eV per cell

The structure in CIF format:
```
data_AcTb4Ho10
_chemical_formula_sum 'Ac1 Tb4 Ho10'
_cell_length_a 9.6181
_cell_length_b 9.6181
_cell_length_c 9.6181
_cell_angle_alpha 96.70
_cell_angle_beta 96.70
_cell_angle_gamma 140.05
_space_group_name_H-M_alt 'P 1'
_space_group_IT_number 1
_space_group_name_Hall 'P 1'
loop_
_atom_site_label
_atom_site_type_symbol
_atom_site_fract_x
_atom_site_fract_y
_atom_site_fract_z
_atom_site_occupancy
Ac1 Ac 0.0000 0.0000 0.0000 1
Tb1 Tb 0.3231 0.5674 0.8905 1
Tb2 Tb 0.4326 0.3231 0.7557 1
Tb3 Tb 0.5674 0.6769 0.2443 1
Tb4 Tb 0.6769 0.4326 0.1095 1
Ho1 Ho 0.0421 0.8797 0.4216 1
Ho2 Ho 0.1203 0.5419 0.1624 1
Ho3 Ho 0.2500 0.7500 0.5000 1
Ho4 Ho 0.3795 0.9579 0.8376 1
Ho5 Ho 0.4581 0.6205 0.5784 1
Ho6 Ho 0.5419 0.3795 0.4216 1
Ho7 Ho 0.6205 0.0421 0.1624 1
Ho8 Ho 0.7500 0.2500 0.5000 1
Ho9 Ho 0.8797 0.4581 0.8376 1
Ho10 Ho 0.9579 0.1203 0.5784 1
```

Below is Ce5PmRh5 after structural relaxation, with properties calculated at the PBE-GGA level.

Total magnetization   0.22 μB/atom
E_form   -602 meV per atom
Space-group type   C2/m
Crystal system   monoclinic
DOS at the Fermi energy   22.56 states/eV per cell

The structure in CIF format:
```
data_Ce5PmRh5
_chemical_formula_sum 'Ce5 Pm1 Rh5'
_cell_length_a 6.9335
_cell_length_b 6.9335
_cell_length_c 8.0569
_cell_angle_alpha 106.89
_cell_angle_beta 106.89
_cell_angle_gamma 48.45
_space_group_name_H-M_alt 'P 1'
_space_group_IT_number 1
_space_group_name_Hall 'P 1'
loop_
_atom_site_label
_atom_site_type_symbol
_atom_site_fract_x
_atom_site_fract_y
_atom_site_fract_z
_atom_site_occupancy
Ce1 Ce 0.0000 0.0000 0.0000 1
Ce2 Ce 0.3300 0.3300 0.6611 1
Ce3 Ce 0.3342 0.3342 0.1689 1
Ce4 Ce 0.6658 0.6658 0.8311 1
Ce5 Ce 0.6700 0.6700 0.3389 1
Pm1 Pm 0.0000 0.0000 0.5000 1
Rh1 Rh 0.1650 0.1650 0.3180 1
Rh2 Rh 0.1719 0.1719 0.8486 1
Rh3 Rh 0.5000 0.5000 0.5000 1
Rh4 Rh 0.8281 0.8281 0.1514 1
Rh5 Rh 0.8350 0.8350 0.6820 1
```

Below is Sr2AcZrO6 after structural relaxation, with properties calculated at the PBE-GGA level.

Total magnetization   0.11 μB/atom
Energy   -74.80 eV/f.u.
Space-group type   P2_1/c
Crystal system   monoclinic
DOS at the Fermi energy   13.62 states/eV per cell

The structure in CIF format:
```
data_Sr2AcZrO6
_chemical_formula_sum 'Sr4 Ac2 Zr2 O12'
_cell_length_a 6.0515
_cell_length_b 6.2864
_cell_length_c 10.5842
_cell_angle_alpha 90.00
_cell_angle_beta 124.74
_cell_angle_gamma 90.00
_space_group_name_H-M_alt 'P 1'
_space_group_IT_number 1
_space_group_name_Hall 'P 1'
loop_
_atom_site_label
_atom_site_type_symbol
_atom_site_fract_x
_atom_site_fract_y
_atom_site_fract_z
_atom_site_occupancy
Sr1 Sr 0.2399 0.0484 0.2564 1
Sr2 Sr 0.2399 0.4516 0.7564 1
Sr3 Sr 0.7601 0.5484 0.2436 1
Sr4 Sr 0.7601 0.9516 0.7436 1
Ac1 Ac 0.5000 0.0000 0.0000 1
Ac2 Ac 0.5000 0.5000 0.5000 1
Zr1 Zr 0.0000 0.0000 0.5000 1
Zr2 Zr 0.0000 0.5000 0.0000 1
O1 O 0.1070 0.2241 0.9264 1
O2 O 0.1070 0.2759 0.4264 1
O3 O 0.2312 0.6840 0.9472 1
O4 O 0.2312 0.8160 0.4472 1
O5 O 0.3460 0.0593 0.7289 1
O6 O 0.3460 0.4407 0.2289 1
O7 O 0.6540 0.5593 0.7711 1
O8 O 0.6540 0.9407 0.2711 1
O9 O 0.7688 0.1840 0.5528 1
O10 O 0.7688 0.3160 0.0528 1
O11 O 0.8930 0.7241 0.5736 1
O12 O 0.8930 0.7759 0.0736 1
```

Below is CaCdSn2Se4 after structural relaxation, with properties calculated at the PBE-GGA level.

Total magnetization   0.00 μB/atom
Energy   -31.35 eV/f.u.
Space-group type   P2/m
Crystal system   monoclinic
DOS at the Fermi energy   0.25 states/eV per cell

The structure in CIF format:
```
data_CaCdSn2Se4
_chemical_formula_sum 'Ca1 Cd1 Sn2 Se4'
_cell_length_a 7.3215
_cell_length_b 4.2211
_cell_length_c 7.3541
_cell_angle_alpha 90.00
_cell_angle_beta 109.75
_cell_angle_gamma 90.00
_space_group_name_H-M_alt 'P 1'
_space_group_IT_number 1
_space_group_name_Hall 'P 1'
loop_
_atom_site_label
_atom_site_type_symbol
_atom_site_fract_x
_atom_site_fract_y
_atom_site_fract_z
_atom_site_occupancy
Ca1 Ca 0.0000 0.0000 0.0000 1
Cd1 Cd 0.5000 0.5000 0.0000 1
Sn1 Sn 0.0000 0.5000 0.5000 1
Sn2 Sn 0.5000 0.0000 0.5000 1
Se1 Se 0.2481 0.5000 0.2418 1
Se2 Se 0.2593 0.0000 0.7636 1
Se3 Se 0.7407 0.0000 0.2364 1
Se4 Se 0.7519 0.5000 0.7582 1
```

Below is Nd3Sm2Tm after structural relaxation, with properties calculated at the PBE-GGA level.

Total magnetization   0.00 μB/atom
E_form   563 meV per atom
Space-group type   Ibam
Relative energy among the computed polymorphs   565 meV/atom
Crystal system   orthorhombic
DOS at the Fermi energy   21.57 states/eV per cell

The structure in CIF format:
```
data_Nd3Sm2Tm
_chemical_formula_sum 'Nd6 Sm4 Tm2'
_cell_length_a 8.9934
_cell_length_b 8.9934
_cell_length_c 8.9934
_cell_angle_alpha 102.15
_cell_angle_beta 94.34
_cell_angle_gamma 135.55
_space_group_name_H-M_alt 'P 1'
_space_group_IT_number 1
_space_group_name_Hall 'P 1'
loop_
_atom_site_label
_atom_site_type_symbol
_atom_site_fract_x
_atom_site_fract_y
_atom_site_fract_z
_atom_site_occupancy
Nd1 Nd 0.0146 0.7500 0.2646 1
Nd2 Nd 0.2500 0.2500 0.0000 1
Nd3 Nd 0.4854 0.7500 0.7354 1
Nd4 Nd 0.5146 0.2500 0.2646 1
Nd5 Nd 0.7500 0.7500 0.0000 1
Nd6 Nd 0.9854 0.2500 0.7354 1
Sm1 Sm 0.1739 0.2442 0.4181 1
Sm2 Sm 0.3261 0.7442 0.0703 1
Sm3 Sm 0.6739 0.2558 0.9297 1
Sm4 Sm 0.8261 0.7558 0.5819 1
Tm1 Tm 0.0000 0.5000 0.5000 1
Tm2 Tm 0.5000 0.0000 0.5000 1
```

Below is KSrTlF6 after structural relaxation, with properties calculated at the PBE-GGA level.

Total magnetization   0.01 μB/atom
Energy   -40.93 eV/f.u.
Space-group type   Imma
Crystal system   orthorhombic
DOS at the Fermi energy   0.00 states/eV per cell

The structure in CIF format:
```
data_KSrTlF6
_chemical_formula_sum 'K2 Sr2 Tl2 F12'
_cell_length_a 7.8854
_cell_length_b 7.8854
_cell_length_c 7.8854
_cell_angle_alpha 121.00
_cell_angle_beta 118.73
_cell_angle_gamma 90.25
_space_group_name_H-M_alt 'P 1'
_space_group_IT_number 1
_space_group_name_Hall 'P 1'
loop_
_atom_site_label
_atom_site_type_symbol
_atom_site_fract_x
_atom_site_fract_y
_atom_site_fract_z
_atom_site_occupancy
K1 K 0.3753 0.1253 0.2500 1
K2 K 0.6247 0.8747 0.7500 1
Sr1 Sr 0.0000 0.0000 0.5000 1
Sr2 Sr 0.0000 0.5000 0.0000 1
Tl1 Tl 0.0000 0.5000 0.5000 1
Tl2 Tl 0.5000 0.5000 0.0000 1
F1 F 0.1252 0.8752 0.2500 1
F2 F 0.1514 0.4014 0.7500 1
F3 F 0.1683 0.4342 0.3369 1
F4 F 0.1683 0.8314 0.7340 1
F5 F 0.4027 0.1686 0.8369 1
F6 F 0.4027 0.5658 0.2340 1
F7 F 0.5973 0.4342 0.7660 1
F8 F 0.5973 0.8314 0.1631 1
F9 F 0.8317 0.1686 0.2660 1
F10 F 0.8317 0.5658 0.6631 1
F11 F 0.8486 0.5986 0.2500 1
F12 F 0.8748 0.1248 0.7500 1
```

Below is ZrSbTe2Cl after structural relaxation, with properties calculated at the PBE-GGA level.

Total magnetization   0.00 μB/atom
Space-group type   P4/mmm
Relative energy among the computed polymorphs   0 meV/atom
Crystal system   tetragonal
DOS at the Fermi energy   5.67 states/eV per cell

The structure in CIF format:
```
data_ZrSbTe2Cl
_chemical_formula_sum 'Zr1 Sb1 Te2 Cl1'
_cell_length_a 5.4932
_cell_length_b 5.4932
_cell_length_c 5.6920
_cell_angle_alpha 90.00
_cell_angle_beta 90.00
_cell_angle_gamma 90.00
_space_group_name_H-M_alt 'P 1'
_space_group_IT_number 1
_space_group_name_Hall 'P 1'
loop_
_atom_site_label
_atom_site_type_symbol
_atom_site_fract_x
_atom_site_fract_y
_atom_site_fract_z
_atom_site_occupancy
Zr1 Zr 0.0000 0.0000 0.0000 1
Sb1 Sb 0.0000 0.0000 0.5000 1
Te1 Te 0.0000 0.5000 0.0000 1
Te2 Te 0.5000 0.0000 0.0000 1
Cl1 Cl 0.5000 0.5000 0.5000 1
```

Below is RbSr2Al after structural relaxation, with properties calculated at the PBE-GGA level.

Total magnetization   0.00 μB/atom
E_form   265 meV per atom
Space-group type   I-42d
Relative energy among the computed polymorphs   258 meV/atom
Crystal system   tetragonal
DOS at the Fermi energy   4.13 states/eV per cell

The structure in CIF format:
```
data_RbSr2Al
_chemical_formula_sum 'Rb2 Sr4 Al2'
_cell_length_a 8.2957
_cell_length_b 8.2957
_cell_length_c 8.2957
_cell_angle_alpha 103.07
_cell_angle_beta 103.07
_cell_angle_gamma 123.21
_space_group_name_H-M_alt 'P 1'
_space_group_IT_number 1
_space_group_name_Hall 'P 1'
loop_
_atom_site_label
_atom_site_type_symbol
_atom_site_fract_x
_atom_site_fract_y
_atom_site_fract_z
_atom_site_occupancy
Rb1 Rb 0.0000 0.0000 0.0000 1
Rb2 Rb 0.7500 0.2500 0.5000 1
Sr1 Sr 0.2124 0.1250 0.5874 1
Sr2 Sr 0.3750 0.7876 0.9126 1
Sr3 Sr 0.5376 0.6250 0.4126 1
Sr4 Sr 0.8750 0.4624 0.0874 1
Al1 Al 0.2500 0.7500 0.5000 1
Al2 Al 0.5000 0.5000 0.0000 1
```